Tb3Tl2Cd2 after structural relaxation. Source: Alexandria, functional PBE.

Unit cell a=11.5027 b=11.5027 c=3.4197 alpha=90.00 beta=90.00 gamma=156.01
Last column: nearest neighbours and their distance in Å.
Positions (direct):
1 Tb 0.0000 0.0000 0.0000  4 Tb 3.42-3.48, 8 Tl 3.42
2 Tb 0.1548 0.8452 0.0000  6 Cd 3.25-3.36, 4 Tl 3.41, 3 Tb 3.42-3.48
3 Tb 0.8452 0.1548 0.0000  6 Cd 3.25-3.36, 4 Tl 3.41, 3 Tb 3.42-3.48
4 Tl 0.4222 0.5778 0.5000  1 Cd 3.12, 8 Tb 3.41-3.42, 2 Tl 3.42
5 Tl 0.5778 0.4222 0.5000  1 Cd 3.12, 8 Tb 3.41-3.42, 2 Tl 3.42
6 Cd 0.2834 0.7166 0.5000  2 Cd 2.82, 1 Tl 3.12
7 Cd 0.7166 0.2834 0.5000  2 Cd 2.82, 1 Tl 3.12

***

Tb4TlCd3 after structural relaxation. Source: Alexandria, functional PBE.

Unit cell a=8.4927 b=8.4927 c=8.4927 alpha=143.60 beta=143.60 gamma=52.43
Last column: nearest neighbours and their distance in Å.
Positions (direct):
1 Tb 0.1268 0.6268 0.5000  6 Cd 3.24-3.28, 2 Tl 3.28
2 Tb 0.3732 0.8732 0.5000  6 Cd 3.24-3.28, 2 Tl 3.28
3 Tb 0.6268 0.1268 0.5000  6 Cd 3.24-3.28, 2 Tl 3.28
4 Tb 0.8732 0.3732 0.5000  6 Cd 3.24-3.28, 2 Tl 3.28
5 Tl 0.0000 0.0000 0.0000  8 Tb 3.28
6 Cd 0.2516 0.2516 0.0000  8 Tb 3.24-3.26
7 Cd 0.5000 0.5000 0.0000  8 Tb 3.28
8 Cd 0.7484 0.7484 0.0000  8 Tb 3.24-3.26

***

TbTlCd4 after structural relaxation. Source: Alexandria, functional PBE.

Unit cell a=9.5432 b=9.5432 c=5.0608 alpha=90.00 beta=90.00 gamma=140.01
Last column: nearest neighbours and their distance in Å.
Positions (direct):
1 Tb 0.1223 0.8777 0.7500  2 Tl 3.26, 12 Cd 3.29-3.44
2 Tb 0.8777 0.1223 0.2500  2 Tl 3.26, 12 Cd 3.29-3.44
3 Tl 0.3816 0.6184 0.2500  2 Tb 3.26, 12 Cd 3.34-3.48
4 Tl 0.6184 0.3816 0.7500  2 Tb 3.26, 12 Cd 3.34-3.48
5 Cd 0.0370 0.4560 0.7500  4 Cd 2.92-3.22
6 Cd 0.1956 0.2811 0.7500  4 Cd 2.96-3.11, 2 Tb 3.29
7 Cd 0.2811 0.1956 0.2500  4 Cd 2.96-3.11, 2 Tb 3.29
8 Cd 0.4560 0.0370 0.2500  4 Cd 2.92-3.22
9 Cd 0.5440 0.9630 0.7500  4 Cd 2.92-3.22
10 Cd 0.7189 0.8044 0.7500  4 Cd 2.96-3.11, 2 Tb 3.29
11 Cd 0.8044 0.7189 0.2500  4 Cd 2.96-3.11, 2 Tb 3.29
12 Cd 0.9630 0.5440 0.2500  4 Cd 2.92-3.22

***

Tb6TlCd5 after structural relaxation. Source: Alexandria, functional PBE.

Unit cell a=5.3140 b=7.5481 c=8.4251 alpha=90.00 beta=108.29 gamma=90.00
Last column: nearest neighbours and their distance in Å.
Positions (direct):
1 Tb 0.0000 0.2485 0.0000  6 Cd 3.25-3.33, 2 Tl 3.27
2 Tb 0.0000 0.7515 0.0000  6 Cd 3.25-3.33, 2 Tl 3.27
3 Tb 0.3329 0.2476 0.6656  7 Cd 3.21-3.27, 1 Tl 3.28
4 Tb 0.3329 0.7524 0.6656  7 Cd 3.21-3.27, 1 Tl 3.28
5 Tb 0.6671 0.2476 0.3344  7 Cd 3.21-3.27, 1 Tl 3.28
6 Tb 0.6671 0.7524 0.3344  7 Cd 3.21-3.27, 1 Tl 3.28
7 Tl 0.5000 0.5000 0.0000  8 Tb 3.27-3.28
8 Cd 0.1669 0.0000 0.3335  8 Tb 3.25-3.26
9 Cd 0.1709 0.5000 0.3420  8 Tb 3.21-3.33
10 Cd 0.5000 0.0000 0.0000  8 Tb 3.25-3.26
11 Cd 0.8291 0.5000 0.6580  8 Tb 3.21-3.33
12 Cd 0.8331 0.0000 0.6665  8 Tb 3.25-3.26

***

TbTlCd3 after structural relaxation. Source: Alexandria, functional PBE.

Unit cell a=9.1760 b=9.1760 c=9.1760 alpha=39.39 beta=39.39 gamma=39.39
Last column: nearest neighbours and their distance in Å.
Positions (direct):
1 Tb 0.1960 0.1960 0.1960  1 Tl 3.11, 9 Cd 3.19-3.29
2 Tb 0.8040 0.8040 0.8040  1 Tl 3.11, 9 Cd 3.19-3.29
3 Tl 0.3187 0.3187 0.3187  1 Tb 3.11, 3 Cd 3.23
4 Tl 0.6813 0.6813 0.6813  1 Tb 3.11, 3 Cd 3.23
5 Cd 0.2463 0.7380 0.7380  4 Cd 3.04-3.14, 3 Tb 3.19-3.29, 1 Tl 3.23
6 Cd 0.2620 0.2620 0.7537  4 Cd 3.04-3.14, 3 Tb 3.19-3.29, 1 Tl 3.23
7 Cd 0.2620 0.7537 0.2620  4 Cd 3.04-3.14, 3 Tb 3.19-3.29, 1 Tl 3.23
8 Cd 0.7380 0.2463 0.7380  4 Cd 3.04-3.14, 3 Tb 3.19-3.29, 1 Tl 3.23
9 Cd 0.7380 0.7380 0.2463  4 Cd 3.04-3.14, 3 Tb 3.19-3.29, 1 Tl 3.23
10 Cd 0.7537 0.2620 0.2620  4 Cd 3.04-3.14, 3 Tb 3.19-3.29, 1 Tl 3.23

***

Tb6Tl2Cd after structural relaxation. Source: Alexandria, functional PBE.

Unit cell a=8.9919 b=8.9919 c=5.1814 alpha=106.68 beta=106.68 gamma=48.18
Last column: nearest neighbours and their distance in Å.
Positions (direct):
1 Tb 0.0819 0.5877 0.3348  1 Cd 3.15, 3 Tl 3.19
2 Tb 0.2447 0.7553 0.0000  2 Cd 3.15, 2 Tl 3.20
3 Tb 0.4123 0.9181 0.6652  1 Cd 3.15, 3 Tl 3.19
4 Tb 0.5877 0.0819 0.3348  1 Cd 3.15, 3 Tl 3.19
5 Tb 0.7553 0.2447 0.0000  2 Cd 3.15, 2 Tl 3.20
6 Tb 0.9181 0.4123 0.6652  1 Cd 3.15, 3 Tl 3.19
7 Tl 0.3333 0.3333 0.8335  8 Tb 3.19-3.20
8 Tl 0.6667 0.6667 0.1665  8 Tb 3.19-3.20
9 Cd 0.0000 0.0000 0.5000  8 Tb 3.15

***

Tb6TlCd after structural relaxation. Source: Alexandria, functional PBE.

Unit cell a=4.8709 b=4.8709 c=9.7213 alpha=90.00 beta=90.00 gamma=90.00
Last column: nearest neighbours and their distance in Å.
Positions (direct):
1 Tb 0.0000 0.0000 0.0000  8 Tb 3.43, 4 Cd 3.44
2 Tb 0.0000 0.0000 0.5000  4 Tl 3.44, 8 Tb 3.45
3 Tb 0.0000 0.5000 0.2484  2 Cd 3.43, 8 Tb 3.43-3.45, 2 Tl 3.45
4 Tb 0.0000 0.5000 0.7516  8 Tb 3.43-3.45, 2 Cd 3.43, 2 Tl 3.45
5 Tb 0.5000 0.0000 0.2484  2 Cd 3.43, 8 Tb 3.43-3.45, 2 Tl 3.45
6 Tb 0.5000 0.0000 0.7516  8 Tb 3.43-3.45, 2 Cd 3.43, 2 Tl 3.45
7 Tl 0.5000 0.5000 0.5000  12 Tb 3.44-3.45
8 Cd 0.5000 0.5000 0.0000  12 Tb 3.43-3.44

***

TbTlCd after structural relaxation. Source: Alexandria, functional PBE.

Unit cell a=5.2688 b=5.2688 c=6.3980 alpha=90.00 beta=90.00 gamma=119.61
Last column: nearest neighbours and their distance in Å.
Positions (direct):
1 Tb 0.1667 0.8333 0.7500  5 Tl 3.04-3.20
2 Tb 0.8333 0.1667 0.2500  5 Tl 3.04-3.20
3 Tl 0.1673 0.8327 0.2500  5 Tb 3.04-3.20
4 Tl 0.8327 0.1673 0.7500  5 Tb 3.04-3.20
5 Cd 0.5000 0.5000 0.0000  2 Cd 3.20, 6 Tl 3.43-3.45, 6 Tb 3.43-3.45
6 Cd 0.5000 0.5000 0.5000  2 Cd 3.20, 6 Tl 3.43-3.45, 6 Tb 3.43-3.45

***

TbTlCd17 after structural relaxation. Source: Alexandria, functional PBE.

Unit cell a=7.7369 b=7.7369 c=7.7369 alpha=82.13 beta=82.13 gamma=82.13
Last column: nearest neighbours and their distance in Å.
Positions (direct):
1 Tb 0.0000 0.0000 0.0000  13 Cd 3.38-3.55
2 Tl 0.6774 0.6774 0.6774  16 Cd 3.55-3.88
3 Cd 0.0267 0.3269 0.6312  8 Cd 2.94-3.28
4 Cd 0.0267 0.6312 0.3269  8 Cd 2.94-3.28
5 Cd 0.1262 0.7063 0.7063  6 Cd 2.91-3.13
6 Cd 0.2237 0.2237 0.2237  7 Cd 2.99-3.26
7 Cd 0.3269 0.0267 0.6312  8 Cd 2.94-3.28
8 Cd 0.3269 0.6312 0.0267  8 Cd 2.94-3.28
9 Cd 0.3446 0.3446 0.8088  10 Cd 2.94-3.26
10 Cd 0.3446 0.8088 0.3446  10 Cd 2.94-3.26
11 Cd 0.4211 0.4211 0.4211  4 Cd 2.97-2.99
12 Cd 0.4519 0.9826 0.9826  9 Cd 2.91-3.24
13 Cd 0.6312 0.0267 0.3269  8 Cd 2.94-3.28
14 Cd 0.6312 0.3269 0.0267  8 Cd 2.94-3.28
15 Cd 0.7063 0.1262 0.7063  6 Cd 2.91-3.13
16 Cd 0.7063 0.7063 0.1262  6 Cd 2.91-3.13
17 Cd 0.8088 0.3446 0.3446  10 Cd 2.94-3.26
18 Cd 0.9826 0.4519 0.9826  9 Cd 2.91-3.24
19 Cd 0.9826 0.9826 0.4519  9 Cd 2.91-3.24

***

Tb6TlCd after structural relaxation. Source: Alexandria, functional PBE.

Unit cell a=9.8638 b=9.8638 c=9.8638 alpha=150.11 beta=150.11 gamma=42.78
Last column: nearest neighbours and their distance in Å.
Positions (direct):
1 Tb 0.1145 0.6145 0.5000  2 Tl 3.30, 2 Cd 3.30, 8 Tb 3.55-3.60
2 Tb 0.2490 0.2490 0.0000  12 Tb 3.55-3.60
3 Tb 0.3855 0.8855 0.5000  2 Cd 3.30, 2 Tl 3.30, 8 Tb 3.55-3.60
4 Tb 0.6145 0.1145 0.5000  2 Tl 3.30, 2 Cd 3.30, 8 Tb 3.55-3.60
5 Tb 0.7510 0.7510 0.0000  12 Tb 3.55-3.60
6 Tb 0.8855 0.3855 0.5000  2 Cd 3.30, 2 Tl 3.30, 8 Tb 3.55-3.60
7 Tl 0.5000 0.5000 0.0000  8 Tb 3.30, 4 Cd 3.60
8 Cd 0.0000 0.0000 0.0000  8 Tb 3.30, 4 Tl 3.60

***

TbTm2Tl2Cd2 after structural relaxation. Source: Alexandria, functional PBE.

Unit cell a=9.0509 b=9.0509 c=9.0509 alpha=32.14 beta=32.14 gamma=32.14
Last column: nearest neighbours and their distance in Å.
Positions (direct):
1 Tb 0.0000 0.0000 0.0000  6 Tl 3.33, 2 Tm 3.45
2 Tm 0.1342 0.1342 0.1342  3 Cd 3.03, 3 Tm 3.34
3 Tm 0.8658 0.8658 0.8658  3 Cd 3.03, 3 Tm 3.34
4 Tl 0.2696 0.2696 0.2696  3 Cd 3.03, 3 Tb 3.33
5 Tl 0.7304 0.7304 0.7304  3 Cd 3.03, 3 Tb 3.33
6 Cd 0.4327 0.4327 0.4327  3 Tm 3.03, 3 Tl 3.03
7 Cd 0.5673 0.5673 0.5673  3 Tm 3.03, 3 Tl 3.03

***

TbTmTlCd after structural relaxation. Source: Alexandria, functional PBE.

Unit cell a=5.3085 b=5.3085 c=5.3085 alpha=60.00 beta=60.00 gamma=60.00
Last column: nearest neighbours and their distance in Å.
Positions (direct):
1 Tb 0.0000 0.0000 0.0000  4 Cd 3.25, 4 Tl 3.25
2 Tm 0.5000 0.5000 0.5000  4 Cd 3.25, 4 Tl 3.25
3 Tl 0.7500 0.7500 0.7500  4 Tb 3.25, 4 Tm 3.25
4 Cd 0.2500 0.2500 0.2500  4 Tb 3.25, 4 Tm 3.25

***

Across the entries above, magnetic moment takes the values 0.81; 0.16; 0.00; 0.15; 0.00; 0.01; 1.96; 0.00; 0.00; 0.00; 0.00; 0.01 μB/f.u., respectively.
Across the entries above, E_tot takes the values -0.2366; -0.2416; -0.1437; -0.2369; -0.1492; -0.2722; -0.2956; -0.2146; -0.0903; -0.2970; -0.2204; -0.2515 Ry/atom, respectively.